# Ac3OsO6F2

An optimized crystal structure of Ac3OsO6F2 (PBE-GGA, Alexandria).

a = 6.9629 Å, b = 6.9629 Å, c = 5.2675 Å
α = 93.28°, β = 93.28°, γ = 60.02°
With the nearest neighbours (Å) after each atom.
Element x y z (fractional)
Ac 0.0000 0.0000 0.0000  2 F 2.48, 4 O 2.56
Ac 0.0000 0.5000 0.5000  4 O 2.40-2.46, 2 F 2.53
Ac 0.5000 0.0000 0.5000  4 O 2.40-2.46, 2 F 2.53
Os 0.5000 0.5000 0.5000  6 O 2.01-2.05
O 0.2163 0.6600 0.7049  1 Os 2.05
O 0.3400 0.7837 0.2951  1 Os 2.05
O 0.3516 0.3516 0.3026  1 Os 2.01
O 0.6484 0.6484 0.6974  1 Os 2.01
O 0.6600 0.2163 0.7049  1 Os 2.05
O 0.7837 0.3400 0.2951  1 Os 2.05
F 0.1805 0.1805 0.7986  3 Ac 2.48-2.53
F 0.8195 0.8195 0.2014  3 Ac 2.48-2.53

Values from the calculation:
- formation energy without anion corrections (kJ/mol of formula units) = -2989

=====

# PmDyHgSb

An optimized crystal structure of PmDyHgSb (PBE-GGA, Alexandria).

a = 5.3542 Å, b = 5.3542 Å, c = 5.3542 Å
α = 60.00°, β = 60.00°, γ = 60.00°
With the nearest neighbours (Å) after each atom.
Element x y z (fractional)
Pm 0.0000 0.0000 0.0000  4 Hg 3.28, 4 Sb 3.28
Dy 0.5000 0.5000 0.5000  4 Hg 3.28, 4 Sb 3.28
Hg 0.2500 0.2500 0.2500  4 Dy 3.28, 4 Pm 3.28
Sb 0.7500 0.7500 0.7500  4 Dy 3.28, 4 Pm 3.28

Values from the calculation:
- formation energy without anion corrections (kJ/mol of formula units) = -244

=====

# Li3Ce2PaS6

An optimized crystal structure of Li3Ce2PaS6 (PBE-GGA, Alexandria).

a = 6.9032 Å, b = 6.9032 Å, c = 6.6323 Å
α = 99.95°, β = 99.95°, γ = 120.05°
With the nearest neighbours (Å) after each atom.
Element x y z (fractional)
Li 0.0000 0.0000 0.0000  6 S 2.71-2.81
Li 0.3386 0.6614 0.0000  6 S 2.68-2.86
Li 0.6614 0.3386 0.0000  6 S 2.68-2.86
Ce 0.1675 0.8325 0.5000  6 S 2.84
Ce 0.8325 0.1675 0.5000  6 S 2.84
Pa 0.5000 0.5000 0.5000  6 S 2.74-2.75
S 0.0917 0.4132 0.2399  3 Li 2.71-2.86, 1 Pa 2.75, 2 Ce 2.84
S 0.2623 0.2623 0.7561  3 Li 2.68-2.81, 1 Pa 2.74, 2 Ce 2.84
S 0.4132 0.0917 0.2399  3 Li 2.71-2.86, 1 Pa 2.75, 2 Ce 2.84
S 0.5868 0.9083 0.7601  3 Li 2.71-2.86, 1 Pa 2.75, 2 Ce 2.84
S 0.7377 0.7377 0.2439  3 Li 2.68-2.81, 1 Pa 2.74, 2 Ce 2.84
S 0.9083 0.5868 0.7601  3 Li 2.71-2.86, 1 Pa 2.75, 2 Ce 2.84

Values from the calculation:
- formation energy without anion corrections (kJ/mol of formula units) = -1892

=====

# CeLuSi4

An optimized crystal structure of CeLuSi4 (PBE-GGA, Alexandria).

a = 5.3098 Å, b = 5.3098 Å, c = 5.3098 Å
α = 60.00°, β = 60.00°, γ = 60.00°
With the nearest neighbours (Å) after each atom.
Element x y z (fractional)
Ce 0.0000 0.0000 0.0000  12 Si 3.12, 4 Lu 3.25
Lu 0.7500 0.7500 0.7500  12 Si 3.11, 4 Ce 3.25
Si 0.3774 0.3774 0.3774  6 Si 2.60-2.71
Si 0.3774 0.3774 0.8678  6 Si 2.60-2.71
Si 0.3774 0.8678 0.3774  6 Si 2.60-2.71
Si 0.8678 0.3774 0.3774  6 Si 2.60-2.71

Values from the calculation:
- formation energy without anion corrections (kJ/mol of formula units) = -193

=====

# Th2BiPd

An optimized crystal structure of Th2BiPd (PBE-GGA, Alexandria).

a = 3.9012 Å, b = 3.9012 Å, c = 7.1535 Å
α = 90.00°, β = 90.00°, γ = 90.00°
With the nearest neighbours (Å) after each atom.
Element x y z (fractional)
Th 0.0000 0.0000 0.2352  4 Pd 3.23, 4 Bi 3.35, 1 Th 3.37
Th 0.0000 0.0000 0.7648  4 Pd 3.23, 4 Bi 3.35, 1 Th 3.37
Bi 0.5000 0.5000 0.5000  8 Th 3.35, 2 Pd 3.58
Pd 0.5000 0.5000 0.0000  8 Th 3.23, 2 Bi 3.58

Values from the calculation:
- formation energy (meV per atom) = -502

=====

# Os2RuRh

An optimized crystal structure of Os2RuRh (PBE-GGA, Alexandria).

a = 4.7165 Å, b = 4.7165 Å, c = 4.7084 Å
α = 99.55°, β = 99.55°, γ = 33.37°
With the nearest neighbours (Å) after each atom.
Element x y z (fractional)
Os 0.2478 0.2478 0.2469  6 Os 2.70-2.74, 3 Ru 2.70-2.73, 3 Rh 2.71-2.74
Os 0.7522 0.7522 0.7531  6 Os 2.70-2.74, 3 Ru 2.70-2.73, 3 Rh 2.71-2.74
Ru 0.5000 0.5000 0.0000  6 Os 2.70-2.73, 2 Ru 2.71, 4 Rh 2.72
Rh 0.0000 0.0000 0.5000  2 Rh 2.71, 6 Os 2.71-2.74, 4 Ru 2.72

Values from the calculation:
- formation energy (meV per atom) = 92

=====

# BeRuO3

An optimized crystal structure of BeRuO3 (PBE-GGA, Alexandria).

a = 3.3963 Å, b = 3.3963 Å, c = 3.3963 Å
α = 90.00°, β = 90.00°, γ = 90.00°
With the nearest neighbours (Å) after each atom.
Element x y z (fractional)
Be 0.0000 0.0000 0.0000  6 O 1.70
Ru 0.5000 0.5000 0.5000  12 O 2.40
O 0.0000 0.0000 0.5000  2 Be 1.70
O 0.0000 0.5000 0.0000  2 Be 1.70
O 0.5000 0.0000 0.0000  2 Be 1.70

Values from the calculation:
- formation energy without anion corrections (kJ/mol of formula units) = -271

=====

# TeMoHPb2

An optimized crystal structure of TeMoHPb2 (PBE-GGA, Alexandria).

a = 5.7274 Å, b = 5.7274 Å, c = 3.6714 Å
α = 90.00°, β = 90.00°, γ = 90.00°
With the nearest neighbours (Å) after each atom.
Element x y z (fractional)
Te 0.0000 0.0000 0.0000  8 Pb 3.40, 2 Te 3.67
Mo 0.5000 0.5000 0.5000  2 H 1.84
H 0.5000 0.5000 0.0000  2 Mo 1.84
Pb 0.0000 0.5000 0.5000  2 Mo 2.86
Pb 0.5000 0.0000 0.5000  2 Mo 2.86

Values from the calculation:
- electronic total energy (eV/atom) = -4.477

=====

# Dy2SiSe5

An optimized crystal structure of Dy2SiSe5 (PBE-GGA, Alexandria).

a = 7.3046 Å, b = 7.3046 Å, c = 12.7811 Å
α = 90.00°, β = 90.00°, γ = 136.39°
With the nearest neighbours (Å) after each atom.
Element x y z (fractional)
Dy 0.1566 0.8434 0.5726  6 Se 2.81-2.98
Dy 0.1566 0.8434 0.9274  6 Se 2.81-2.98
Dy 0.8434 0.1566 0.0726  6 Se 2.81-2.98
Dy 0.8434 0.1566 0.4274  6 Se 2.81-2.98
Si 0.1668 0.8332 0.2500  4 Se 2.38-2.53
Si 0.8332 0.1668 0.7500  4 Se 2.38-2.53
Se 0.0473 0.9527 0.1140  1 Si 2.38
Se 0.0473 0.9527 0.3860  1 Si 2.38
Se 0.2915 0.7085 0.7500  2 Si 2.77, 2 Dy 2.91
Se 0.2959 0.7041 0.1074  1 Si 2.53, 2 Dy 2.82
Se 0.2959 0.7041 0.3926  1 Si 2.53, 2 Dy 2.82
Se 0.7041 0.2959 0.6074  1 Si 2.53, 2 Dy 2.82
Se 0.7041 0.2959 0.8926  1 Si 2.53, 2 Dy 2.82
Se 0.7085 0.2915 0.2500  2 Si 2.77, 2 Dy 2.91
Se 0.9527 0.0473 0.6140  1 Si 2.38
Se 0.9527 0.0473 0.8860  1 Si 2.38

Values from the calculation:
- formation energy without anion corrections (kJ/mol of formula units) = -858

=====

# USe3Br

An optimized crystal structure of USe3Br (PBE-GGA, Alexandria).

a = 8.7718 Å, b = 7.3051 Å, c = 11.4036 Å
α = 90.00°, β = 111.34°, γ = 90.00°
With the nearest neighbours (Å) after each atom.
Element x y z (fractional)
U 0.0642 0.2418 0.0819  6 Se 2.70-3.00, 1 Br 2.70
U 0.0642 0.2582 0.5819  6 Se 2.70-3.00, 1 Br 2.70
U 0.9358 0.7418 0.4181  6 Se 2.70-3.00, 1 Br 2.70
U 0.9358 0.7582 0.9181  6 Se 2.70-3.00, 1 Br 2.70
Se 0.0179 0.6202 0.6857  1 Se 2.36
Se 0.0179 0.8798 0.1857  1 Se 2.36
Se 0.2022 0.5346 0.0145  2 U 2.70-2.73
Se 0.2022 0.9654 0.5145  2 U 2.70-2.73
Se 0.2208 0.5048 0.4658  1 Se 2.36
Se 0.2208 0.9952 0.9658  1 Se 2.36
Se 0.7792 0.0048 0.0342  1 Se 2.36
Se 0.7792 0.4952 0.5342  1 Se 2.36
Se 0.7978 0.0346 0.4855  2 U 2.70-2.73
Se 0.7978 0.4654 0.9855  2 U 2.70-2.73
Se 0.9821 0.1202 0.8143  1 Se 2.36
Se 0.9821 0.3798 0.3143  1 Se 2.36
Br 0.3586 0.1969 0.2686  1 U 2.70
Br 0.3586 0.3031 0.7686  1 U 2.70
Br 0.6414 0.6969 0.2314  1 U 2.70
Br 0.6414 0.8031 0.7314  1 U 2.70

Values from the calculation:
- formation energy without anion corrections (kJ/mol of formula units) = -397

=====

# ZnFeMo2

An optimized crystal structure of ZnFeMo2 (PBE-GGA, Alexandria).

a = 3.7046 Å, b = 3.7974 Å, c = 4.0703 Å
α = 90.00°, β = 90.00°, γ = 90.00°
With the nearest neighbours (Å) after each atom.
Element x y z (fractional)
Zn 0.0000 0.0000 0.0000  4 Fe 2.65, 8 Mo 2.75-2.78
Fe 0.5000 0.5000 0.0000  4 Zn 2.65, 8 Mo 2.75-2.78
Mo 0.0000 0.5000 0.5000  4 Mo 2.65, 4 Fe 2.75, 4 Zn 2.78
Mo 0.5000 0.0000 0.5000  4 Mo 2.65, 4 Zn 2.75, 4 Fe 2.78

Values from the calculation:
- formation energy (meV per atom) = 157

=====

# PaB4Os

An optimized crystal structure of PaB4Os (PBE-GGA, Alexandria).

a = 4.9580 Å, b = 4.9580 Å, c = 4.9580 Å
α = 143.02°, β = 116.59°, γ = 75.73°
With the nearest neighbours (Å) after each atom.
Element x y z (fractional)
Pa 0.0000 0.0000 0.0000  12 B 2.62-2.63
B 0.0646 0.7413 0.3234  3 B 1.75-1.84
B 0.4179 0.7413 0.6766  3 B 1.75-1.84
B 0.5821 0.2587 0.3234  3 B 1.75-1.84
B 0.9354 0.2587 0.6766  3 B 1.75-1.84
Os 0.5000 0.5000 0.0000  12 B 2.53-2.72

Values from the calculation:
- formation energy (meV per atom) = -58